The following is a PBE+U calculation of an optimized crystal structure of MnCrAs2O8, from the Alexandria database. Values from VASP.

Cell and atoms, written as Quantum ESPRESSO input:
```
&SYSTEM
  ibrav = 0, nat = 12, ntyp = 4
/
ATOMIC_SPECIES
Mn 54.94 Mn.upf
Cr 52.00 Cr.upf
As 74.92 As.upf
O 16.00 O.upf
ATOMIC_POSITIONS crystal
Mn 0.0000 0.0000 0.0000
Cr 0.2500 0.7500 0.5000
As 0.5000 0.5000 0.0000
As 0.7500 0.2500 0.5000
O 0.3158 0.1228 0.8070
O 0.3158 0.5089 0.1930
O 0.3717 0.0586 0.3131
O 0.4911 0.6842 0.8070
O 0.7455 0.0586 0.6869
O 0.8772 0.6842 0.1930
O 0.9414 0.2545 0.3131
O 0.9414 0.6283 0.6869
CELL_PARAMETERS angstrom
-3.3284 3.3284 3.1233
3.3284 -3.3284 3.1233
3.3284 3.3284 -3.1233
```

Computed properties:
The value obtained for the final energy is -6.54 eV per atom. The volume comes out at 138.40 Å³/cell.